Entry from the Alexandria database: a relaxed YCdAg4 crystal (PBE).

a = 5.5795 Å, b = 5.5795 Å, c = 5.5795 Å
α = 60.00°, β = 60.00°, γ = 60.00°
Closest atoms and distances in Å follow each position.
Atoms (fractional coordinates):
Ag: 0.6247 0.1260 0.6247  6 Ag 2.78-2.80
Ag: 0.6247 0.6247 0.1260  6 Ag 2.78-2.80
Ag: 0.6247 0.6247 0.6247  6 Ag 2.78-2.80
Ag: 0.1260 0.6247 0.6247  6 Ag 2.78-2.80
Y: 0.0000 0.0000 0.0000  12 Ag 3.27, 4 Cd 3.42
Cd: 0.2500 0.2500 0.2500  12 Ag 3.27, 4 Y 3.42

Entry from the Alexandria database: a relaxed YCd3Ag crystal (PBE).

a = 4.9276 Å, b = 6.6110 Å, c = 6.9601 Å
α = 91.71°, β = 90.00°, γ = 90.00°
Closest atoms and distances in Å follow each position.
Atoms (fractional coordinates):
Cd: 0.8810 0.6359 0.8572  4 Cd 2.82-3.14, 1 Ag 2.86
Cd: 0.8810 0.5533 0.4569  2 Cd 2.82-2.97, 3 Ag 2.86-3.08
Cd: 0.3810 0.3883 0.6997  1 Ag 2.76, 2 Cd 2.93-2.97
Cd: 0.3810 0.0388 0.9488  4 Cd 2.82-3.14, 1 Ag 2.86
Cd: 0.8810 0.2865 0.1064  1 Ag 2.76, 2 Cd 2.93-2.97
Cd: 0.3810 0.1215 0.3492  2 Cd 2.82-2.97, 3 Ag 2.86-3.08
Ag: 0.8810 0.8837 0.2009  5 Cd 2.76-3.08
Ag: 0.3810 0.7911 0.6051  5 Cd 2.76-3.08
Y: 0.3810 0.5978 0.1636  3 Ag 3.11-3.29, 9 Cd 3.22-3.48
Y: 0.8810 0.0770 0.6425  3 Ag 3.11-3.29, 9 Cd 3.22-3.48

Entry from the Alexandria database: a relaxed Y2Cd2Ag crystal (PBE).

a = 4.4726 Å, b = 4.4726 Å, c = 7.7286 Å
α = 73.18°, β = 73.18°, γ = 90.00°
Closest atoms and distances in Å follow each position.
Atoms (fractional coordinates):
Y: 0.7500 0.2500 0.5000  4 Cd 3.13, 4 Y 3.16
Y: 0.2500 0.7500 0.5000  4 Cd 3.13, 4 Y 3.16
Cd: 0.5945 0.5945 0.8110  1 Cd 2.67
Cd: 0.4055 0.4055 0.1890  1 Cd 2.67
Ag: 0.0000 0.0000 0.0000  8 Cd 3.43

Entry from the Alexandria database: a relaxed Y6CdAg crystal (PBE).

a = 8.4303 Å, b = 8.8900 Å, c = 6.1282 Å
α = 43.46°, β = 46.52°, γ = 58.10°
Closest atoms and distances in Å follow each position.
Atoms (fractional coordinates):
Y: 0.4558 0.7532 0.7673  2 Y 3.11-3.13, 1 Ag 3.11, 2 Cd 3.39-3.48
Y: 0.5442 0.2468 0.2327  2 Y 3.11-3.13, 1 Ag 3.11, 2 Cd 3.39-3.48
Y: 0.7532 0.9768 0.8142  2 Y 3.12-3.13, 1 Ag 3.12, 2 Cd 3.40-3.47
Y: 0.9766 0.5441 0.7262  2 Y 3.12-3.13, 1 Ag 3.12, 2 Cd 3.40-3.48
Y: 0.0234 0.4559 0.2738  2 Y 3.12-3.13, 1 Ag 3.12, 2 Cd 3.40-3.48
Y: 0.2468 0.0232 0.1858  2 Y 3.12-3.13, 1 Ag 3.12, 2 Cd 3.40-3.47
Ag: 0.0000 0.0000 0.0000  6 Y 3.11-3.12
Cd: 0.5000 0.5000 0.5000  12 Y 3.39-3.48

Entry from the Alexandria database: a relaxed YCd6Ag4 crystal (PBE).

a = 3.4540 Å, b = 9.0234 Å, c = 9.0234 Å
α = 120.00°, β = 90.00°, γ = 90.00°
Closest atoms and distances in Å follow each position.
Atoms (fractional coordinates):
Cd: 0.5000 0.1854 0.8146  4 Ag 2.81-2.89
Cd: 0.5000 0.1854 0.3709  4 Ag 2.81-2.89
Cd: 0.0000 0.5294 0.4706  5 Ag 2.91-3.06
Cd: 0.0000 0.9412 0.4706  5 Ag 2.91-3.06
Cd: 0.0000 0.5294 0.0588  5 Ag 2.91-3.06
Cd: 0.5000 0.6291 0.8146  4 Ag 2.81-2.89
Y: 0.0000 0.0000 0.0000  6 Ag 3.22, 6 Cd 3.37, 2 Y 3.45
Ag: 0.5000 0.8259 0.1741  6 Cd 2.81-2.91
Ag: 0.5000 0.8259 0.6518  6 Cd 2.81-2.91
Ag: 0.0000 0.3333 0.6667  9 Cd 2.89-3.06
Ag: 0.5000 0.3482 0.1741  6 Cd 2.81-2.91

Entry from the Alexandria database: a relaxed YCd9Ag3 crystal (PBE).

a = 5.5849 Å, b = 7.6424 Å, c = 7.6052 Å
α = 82.21°, β = 68.46°, γ = 68.35°
Closest atoms and distances in Å follow each position.
Atoms (fractional coordinates):
Cd: 0.0000 0.5000 0.0000  2 Ag 2.79, 8 Cd 2.92-3.07
Cd: 0.5068 0.2082 0.7877  3 Ag 2.86-2.91, 5 Cd 2.92-3.14
Cd: 0.9988 0.6581 0.3508  3 Ag 2.99-3.05, 6 Cd 3.07-3.34
Cd: 0.0012 0.3419 0.6492  3 Ag 2.99-3.05, 6 Cd 3.07-3.34
Cd: 0.6504 0.3419 0.3508  3 Ag 2.99-3.05, 6 Cd 3.07-3.34
Cd: 0.2945 0.2082 0.2123  3 Ag 2.86-2.91, 5 Cd 2.92-3.14
Cd: 0.3496 0.6581 0.6492  3 Ag 2.99-3.05, 6 Cd 3.07-3.34
Cd: 0.4932 0.7918 0.2123  3 Ag 2.86-2.91, 5 Cd 2.92-3.14
Cd: 0.7055 0.7918 0.7877  3 Ag 2.86-2.91, 5 Cd 2.92-3.14
Y: 0.0000 0.0000 0.0000  14 Cd 3.47-3.82, 6 Ag 3.80-3.81
Ag: 0.0000 0.0000 0.5000  2 Ag 2.79, 8 Cd 2.86-3.00
Ag: 0.5000 0.5000 0.0000  10 Cd 2.79-3.05
Ag: 0.5000 0.0000 0.5000  2 Ag 2.79, 8 Cd 2.86-3.00

Number 1: total energy -3.33 eV per atom. Number 2: total energy -2.61 eV per atom. Number 3: total energy -3.26 eV per atom. Number 4: total energy -5.36 eV per atom. Number 5: total energy -2.21 eV per atom. Number 6: total energy -1.91 eV per atom.